## ZnCu2Re (GGA-PBE)

Data for ZnCu2Re after structural relaxation.

Values from the calculation:
Energy above the lowest structure with this stoichiometry, kcal/mol of atoms: 2.940
E_form, eV per atom: 0.257
Calculated total energy, eV for the cell shown: -20.9
Theoretical density, Mg/m³: 11.77

CIF file:
```
data_ZnCu2Re
_cell_length_a 2.539
_cell_length_b 4.192
_cell_length_c 5.113
_cell_angle_alpha 90.00
_cell_angle_beta 100.87
_cell_angle_gamma 90.00
_symmetry_space_group_name_H-M 'P 1 2/m 1'
_symmetry_Int_Tables_number 10
_symmetry_space_group_name_Hall '-P 2y'
loop_
_atom_site_label
_atom_site_fract_x
_atom_site_fract_y
_atom_site_fract_z
Zn1 0.000 0.000 0.000
Cu1 0.167 0.500 0.746
Re1 0.500 0.000 0.500
```

***

## ZnCu2Re (GGA-PBE)

Data for ZnCu2Re after structural relaxation.

Values from the calculation:
Energy above the lowest structure with this stoichiometry, kcal/mol of atoms: 2.961
E_form, eV per atom: 0.258
Calculated total energy, eV for the cell shown: -20.9
Theoretical density, Mg/m³: 11.86

CIF file:
```
data_ZnCu2Re
_cell_length_a 2.611
_cell_length_b 3.709
_cell_length_c 5.473
_cell_angle_alpha 90.00
_cell_angle_beta 90.00
_cell_angle_gamma 90.00
_symmetry_space_group_name_H-M 'P m m 2'
_symmetry_Int_Tables_number 25
_symmetry_space_group_name_Hall 'P 2 -2'
loop_
_atom_site_label
_atom_site_fract_x
_atom_site_fract_y
_atom_site_fract_z
Zn1 0.000 0.000 0.000
Cu1 0.000 0.000 0.478
Cu2 0.500 0.500 0.239
Re1 0.500 0.500 0.729
```

***

## Zn2CuRe (GGA-PBE)

Data for Zn2CuRe after structural relaxation.

Values from the calculation:
Energy above the lowest structure with this stoichiometry, kcal/mol of atoms: 0.302
E_form, eV per atom: 0.102
Calculated total energy, eV for the cell shown: -37.4
Theoretical density, Mg/m³: 11.39

CIF file:
```
data_Zn2CuRe
_cell_length_a 3.167
_cell_length_b 4.192
_cell_length_c 8.358
_cell_angle_alpha 90.00
_cell_angle_beta 90.00
_cell_angle_gamma 90.00
_symmetry_space_group_name_H-M 'C m m m'
_symmetry_Int_Tables_number 65
_symmetry_space_group_name_Hall '-C 2 2'
loop_
_atom_site_label
_atom_site_fract_x
_atom_site_fract_y
_atom_site_fract_z
Zn1 0.000 0.000 0.238
Cu1 0.000 0.500 0.000
Re1 0.000 0.500 0.500
```

***

## ZnCu3Re (GGA-PBE)

Data for ZnCu3Re after structural relaxation.

Values from the calculation:
Energy above the lowest structure with this stoichiometry, kcal/mol of atoms: 0.000
E_form, eV per atom: 1.342
Calculated total energy, eV for the cell shown: -19.3
Theoretical density, Mg/m³: 9.58

CIF file:
```
data_ZnCu3Re
_cell_length_a 4.249
_cell_length_b 4.249
_cell_length_c 4.249
_cell_angle_alpha 90.00
_cell_angle_beta 90.00
_cell_angle_gamma 90.00
_symmetry_space_group_name_H-M 'P m -3 m'
_symmetry_Int_Tables_number 221
_symmetry_space_group_name_Hall '-P 4 2 3'
loop_
_atom_site_label
_atom_site_fract_x
_atom_site_fract_y
_atom_site_fract_z
Zn1 0.000 0.000 0.000
Cu1 0.000 0.000 0.500
Re1 0.500 0.500 0.500
```

***

## ZnCu2Re (GGA-PBE)

Data for ZnCu2Re after structural relaxation.

Values from the calculation:
Energy above the lowest structure with this stoichiometry, kcal/mol of atoms: 4.107
E_form, eV per atom: 0.308
Calculated total energy, eV for the cell shown: -20.7
Theoretical density, Mg/m³: 11.67

CIF file:
```
data_ZnCu2Re
_cell_length_a 2.669
_cell_length_b 4.493
_cell_length_c 4.493
_cell_angle_alpha 90.00
_cell_angle_beta 90.00
_cell_angle_gamma 90.00
_symmetry_space_group_name_H-M 'P m m m'
_symmetry_Int_Tables_number 47
_symmetry_space_group_name_Hall '-P 2 2'
loop_
_atom_site_label
_atom_site_fract_x
_atom_site_fract_y
_atom_site_fract_z
Zn1 0.000 0.000 0.000
Cu1 0.000 0.500 0.500
Cu2 0.500 0.500 0.000
Re1 0.500 0.000 0.500
```

***

## ZnCu2Re (GGA-PBE)

Data for ZnCu2Re after structural relaxation.

Values from the calculation:
Energy above the lowest structure with this stoichiometry, kcal/mol of atoms: 2.865
E_form, eV per atom: 0.254
Calculated total energy, eV for the cell shown: -20.9
Theoretical density, Mg/m³: 11.81

CIF file:
```
data_ZnCu2Re
_cell_length_a 2.603
_cell_length_b 3.817
_cell_length_c 5.359
_cell_angle_alpha 90.00
_cell_angle_beta 90.00
_cell_angle_gamma 90.00
_symmetry_space_group_name_H-M 'P m m m'
_symmetry_Int_Tables_number 47
_symmetry_space_group_name_Hall '-P 2 2'
loop_
_atom_site_label
_atom_site_fract_x
_atom_site_fract_y
_atom_site_fract_z
Zn1 0.000 0.000 0.000
Cu1 0.500 0.500 0.251
Re1 0.000 0.000 0.500
```